Here is BeFeAgB after structural relaxation from the Open Quantum Materials Database. Energies are from PBE.

abc: 3.9799 3.9799 3.9799
angles: 60.00 60.00 60.00
Element x y z (fractional)
Be (0.0000, 0.0000, 0.0000)
Fe (0.5000, 0.5000, 0.5000)
Ag (0.7500, 0.7500, 0.7500)
B (0.2500, 0.2500, 0.2500)

Summary:
calculated total energy: -4.626 eV/atom

Here is AgBi2B after structural relaxation from the Open Quantum Materials Database. Energies are from PBE.

abc: 5.1166 5.1166 5.1166
angles: 60.00 60.00 60.00
Element x y z (fractional)
Ag (0.0000, 0.0000, 0.0000)
Bi (0.2500, 0.2500, 0.2500)
Bi (0.5000, 0.5000, 0.5000)
B (0.7500, 0.7500, 0.7500)

Summary:
calculated total energy: -3.290 eV/atom

Here is AgBiB after structural relaxation from the Open Quantum Materials Database. Energies are from PBE.

abc: 4.4927 4.4927 4.4927
angles: 60.00 60.00 60.00
Element x y z (fractional)
Ag (0.0000, 0.0000, 0.0000)
Bi (0.2500, 0.2500, 0.2500)
B (0.7500, 0.7500, 0.7500)

Summary:
calculated total energy: -3.254 eV/atom

Here is AgB11H6CBr6 after structural relaxation from the Open Quantum Materials Database. Energies are from PBE.

abc: 12.0082 11.3888 13.2838
angles: 90.00 90.00 90.00
Element x y z (fractional)
Ag (0.0000, 0.0000, 0.0000)
Ag (0.0000, 0.5000, 0.0000)
Ag (0.5000, 0.0000, 0.5000)
Ag (0.5000, 0.5000, 0.5000)
B (0.0809, 0.1719, 0.4973)
B (0.0809, 0.3281, 0.4973)
B (0.1424, 0.1236, 0.6123)
B (0.1424, 0.3764, 0.6123)
B (0.1806, 0.2500, 0.6834)
B (0.1828, 0.2500, 0.4265)
B (0.1916, 0.7500, 0.9997)
B (0.2172, 0.6717, 0.1144)
B (0.2172, 0.8283, 0.1144)
B (0.2211, 0.1231, 0.4992)
B (0.2211, 0.3769, 0.4992)
B (0.2789, 0.6231, 0.9992)
B (0.2789, 0.8769, 0.9992)
B (0.2828, 0.1717, 0.6144)
B (0.2828, 0.3283, 0.6144)
B (0.3084, 0.2500, 0.4997)
B (0.3172, 0.7500, 0.9265)
B (0.3194, 0.7500, 0.1834)
B (0.3576, 0.6236, 0.1123)
B (0.3576, 0.8764, 0.1123)
B (0.4191, 0.6719, 0.9973)
B (0.4191, 0.8281, 0.9973)
B (0.5809, 0.1719, 0.0027)
B (0.5809, 0.3281, 0.0027)
B (0.6424, 0.1236, 0.8877)
B (0.6424, 0.3764, 0.8877)
B (0.6806, 0.2500, 0.8166)
B (0.6828, 0.2500, 0.0735)
B (0.6916, 0.7500, 0.5003)
B (0.7172, 0.6717, 0.3856)
B (0.7172, 0.8283, 0.3856)
B (0.7211, 0.1231, 0.0008)
B (0.7211, 0.3769, 0.0008)
B (0.7789, 0.6231, 0.5008)
B (0.7789, 0.8769, 0.5008)
B (0.7828, 0.1717, 0.8856)
B (0.7828, 0.3283, 0.8856)
B (0.8084, 0.2500, 0.0003)
B (0.8172, 0.7500, 0.5735)
B (0.8194, 0.7500, 0.3166)
B (0.8576, 0.6236, 0.3877)
B (0.8576, 0.8764, 0.3877)
B (0.9191, 0.6719, 0.5027)
B (0.9191, 0.8281, 0.5027)
H (0.0043, 0.1197, 0.4626)
H (0.0043, 0.3803, 0.4626)
H (0.0141, 0.7500, 0.3575)
H (0.1078, 0.0387, 0.6541)
H (0.1078, 0.4613, 0.6541)
H (0.1708, 0.2500, 0.7725)
H (0.3292, 0.7500, 0.2725)
H (0.3922, 0.5387, 0.1541)
H (0.3922, 0.9613, 0.1541)
H (0.4859, 0.2500, 0.8575)
H (0.4957, 0.6197, 0.9626)
H (0.4957, 0.8803, 0.9626)
H (0.5043, 0.1197, 0.0374)
H (0.5043, 0.3803, 0.0374)
H (0.5141, 0.7500, 0.1425)
H (0.6078, 0.0387, 0.8459)
H (0.6078, 0.4613, 0.8459)
H (0.6708, 0.2500, 0.7275)
H (0.8292, 0.7500, 0.2275)
H (0.8922, 0.5387, 0.3459)
H (0.8922, 0.9613, 0.3459)
H (0.9859, 0.2500, 0.6425)
H (0.9957, 0.6197, 0.5374)
H (0.9957, 0.8803, 0.5374)
C (0.0674, 0.2500, 0.6060)
C (0.4326, 0.7500, 0.1060)
C (0.5674, 0.2500, 0.8940)
C (0.9326, 0.7500, 0.3940)
Br (0.0442, 0.7500, 0.9341)
Br (0.0991, 0.5797, 0.1812)
Br (0.0991, 0.9203, 0.1812)
Br (0.1857, 0.2500, 0.2795)
Br (0.2296, 0.0249, 0.9359)
Br (0.2296, 0.4751, 0.9359)
Br (0.2704, 0.5249, 0.4359)
Br (0.2704, 0.9751, 0.4359)
Br (0.3143, 0.7500, 0.7795)
Br (0.4009, 0.0797, 0.6812)
Br (0.4009, 0.4203, 0.6812)
Br (0.4558, 0.2500, 0.4341)
Br (0.5442, 0.7500, 0.5659)
Br (0.5991, 0.5797, 0.3188)
Br (0.5991, 0.9203, 0.3188)
Br (0.6857, 0.2500, 0.2205)
Br (0.7296, 0.0249, 0.5641)
Br (0.7296, 0.4751, 0.5641)
Br (0.7704, 0.5249, 0.0641)
Br (0.7704, 0.9751, 0.0641)
Br (0.8143, 0.7500, 0.7205)
Br (0.9009, 0.0797, 0.8188)
Br (0.9009, 0.4203, 0.8188)
Br (0.9558, 0.2500, 0.0659)

Summary:
calculated total energy: -4.948 eV/atom

Here is AgB6H4C2Cl4F6 after structural relaxation from the Open Quantum Materials Database. Energies are from PBE.

abc: 10.2371 10.0108 14.2584
angles: 90.00 127.96 90.00
Element x y z (fractional)
Ag (0.2360, 0.2143, 0.1715)
Ag (0.2360, 0.2857, 0.6715)
Ag (0.7640, 0.7143, 0.3285)
Ag (0.7640, 0.7857, 0.8285)
B (0.3199, 0.0547, 0.8733)
B (0.3199, 0.4453, 0.3733)
B (0.3345, 0.6062, 0.4330)
B (0.3345, 0.8938, 0.9330)
B (0.3461, 0.0405, 0.0083)
B (0.3461, 0.4595, 0.5083)
B (0.4391, 0.5733, 0.3713)
B (0.4391, 0.9267, 0.8713)
B (0.4576, 0.1651, 0.9933)
B (0.4576, 0.3349, 0.4933)
B (0.4837, 0.5942, 0.5915)
B (0.4837, 0.9058, 0.0915)
B (0.5163, 0.0942, 0.9085)
B (0.5163, 0.4058, 0.4085)
B (0.5424, 0.6651, 0.5067)
B (0.5424, 0.8349, 0.0067)
B (0.5609, 0.0733, 0.1287)
B (0.5609, 0.4267, 0.6287)
B (0.6539, 0.5405, 0.4917)
B (0.6539, 0.9595, 0.9917)
B (0.6655, 0.1062, 0.0670)
B (0.6655, 0.3938, 0.5670)
B (0.6801, 0.5547, 0.6267)
B (0.6801, 0.9453, 0.1267)
H (0.0267, 0.2347, 0.3634)
H (0.0267, 0.2653, 0.8634)
H (0.0977, 0.5936, 0.1520)
H (0.0977, 0.9064, 0.6520)
H (0.2774, 0.6508, 0.8008)
H (0.2774, 0.8492, 0.3008)
H (0.3425, 0.5416, 0.9245)
H (0.3425, 0.9584, 0.4245)
H (0.6575, 0.0416, 0.5755)
H (0.6575, 0.4584, 0.0755)
H (0.7226, 0.1508, 0.6992)
H (0.7226, 0.3492, 0.1992)
H (0.9023, 0.0936, 0.3480)
H (0.9023, 0.4064, 0.8480)
H (0.9733, 0.7347, 0.1366)
H (0.9733, 0.7653, 0.6366)
C (0.0075, 0.6699, 0.0932)
C (0.0075, 0.8301, 0.5932)
C (0.2958, 0.5483, 0.8322)
C (0.2958, 0.9517, 0.3322)
C (0.7042, 0.0483, 0.6678)
C (0.7042, 0.4517, 0.1678)
C (0.9925, 0.1699, 0.4068)
C (0.9925, 0.3301, 0.9068)
Cl (0.0900, 0.7315, 0.5383)
Cl (0.0900, 0.7685, 0.0383)
Cl (0.1043, 0.0366, 0.2419)
Cl (0.1043, 0.4634, 0.7419)
Cl (0.1751, 0.0852, 0.5251)
Cl (0.1751, 0.4148, 0.0251)
Cl (0.4417, 0.0272, 0.3201)
Cl (0.4417, 0.4728, 0.8201)
Cl (0.5583, 0.5272, 0.1799)
Cl (0.5583, 0.9728, 0.6799)
Cl (0.8249, 0.5852, 0.9749)
Cl (0.8249, 0.9148, 0.4749)
Cl (0.8957, 0.5366, 0.2581)
Cl (0.8957, 0.9634, 0.7581)
Cl (0.9100, 0.2315, 0.9617)
Cl (0.9100, 0.2685, 0.4617)
F (0.1737, 0.1033, 0.7680)
F (0.1737, 0.3967, 0.2680)
F (0.1996, 0.6929, 0.3781)
F (0.1996, 0.8071, 0.8781)
F (0.2187, 0.0746, 0.0137)
F (0.2187, 0.4254, 0.5137)
F (0.3886, 0.6342, 0.2663)
F (0.3886, 0.8658, 0.7663)
F (0.4200, 0.2008, 0.4869)
F (0.4200, 0.2992, 0.9869)
F (0.4759, 0.6720, 0.6685)
F (0.4759, 0.8280, 0.1685)
F (0.5241, 0.1720, 0.8315)
F (0.5241, 0.3280, 0.3315)
F (0.5800, 0.7008, 0.0131)
F (0.5800, 0.7992, 0.5131)
F (0.6114, 0.1342, 0.2337)
F (0.6114, 0.3658, 0.7337)
F (0.7813, 0.5746, 0.4863)
F (0.7813, 0.9254, 0.9863)
F (0.8004, 0.1929, 0.1219)
F (0.8004, 0.3071, 0.6219)
F (0.8263, 0.6033, 0.7320)
F (0.8263, 0.8967, 0.2320)

Summary:
calculated total energy: -5.049 eV/atom

Here is AgBH7C9N7F4 after structural relaxation from the Open Quantum Materials Database. Energies are from PBE.

abc: 5.4806 14.0605 7.3925
angles: 90.00 94.21 90.00
Element x y z (fractional)
Ag (0.0000, 0.0000, 0.0000)
Ag (0.0000, 0.5000, 0.0000)
B (0.0424, 0.2500, 0.4245)
B (0.9576, 0.7500, 0.5755)
H (0.1374, 0.7500, 0.9554)
H (0.1840, 0.0545, 0.3890)
H (0.1840, 0.4455, 0.3890)
H (0.2520, 0.6369, 0.3303)
H (0.2520, 0.8631, 0.3303)
H (0.4209, 0.6382, 0.7543)
H (0.4209, 0.8618, 0.7543)
H (0.5791, 0.1382, 0.2457)
H (0.5791, 0.3618, 0.2457)
H (0.7480, 0.1369, 0.6697)
H (0.7480, 0.3631, 0.6697)
H (0.8160, 0.5545, 0.6110)
H (0.8160, 0.9455, 0.6110)
H (0.8626, 0.2500, 0.0446)
C (0.0286, 0.2500, 0.9726)
C (0.3255, 0.0199, 0.3183)
C (0.3255, 0.4801, 0.3183)
C (0.3306, 0.1710, 0.8489)
C (0.3306, 0.3290, 0.8489)
C (0.3560, 0.5759, 0.2913)
C (0.3560, 0.9241, 0.2913)
C (0.4702, 0.5636, 0.7542)
C (0.4702, 0.9364, 0.7542)
C (0.5298, 0.0636, 0.2458)
C (0.5298, 0.4364, 0.2458)
C (0.6440, 0.0759, 0.7087)
C (0.6440, 0.4241, 0.7087)
C (0.6694, 0.6710, 0.1511)
C (0.6694, 0.8290, 0.1511)
C (0.6745, 0.5199, 0.6817)
C (0.6745, 0.9801, 0.6817)
C (0.9714, 0.7500, 0.0274)
N (0.1223, 0.1659, 0.9319)
N (0.1223, 0.3341, 0.9319)
N (0.3252, 0.0005, 0.8238)
N (0.3252, 0.4995, 0.8238)
N (0.4337, 0.0861, 0.7960)
N (0.4337, 0.4139, 0.7960)
N (0.4504, 0.2500, 0.8100)
N (0.5496, 0.7500, 0.1900)
N (0.5663, 0.5861, 0.2040)
N (0.5663, 0.9139, 0.2040)
N (0.6748, 0.9995, 0.1762)
N (0.6748, 0.5005, 0.1762)
N (0.8777, 0.6659, 0.0681)
N (0.8777, 0.8341, 0.0681)
F (0.0542, 0.1679, 0.5353)
F (0.0542, 0.3321, 0.5353)
F (0.1857, 0.7500, 0.6793)
F (0.2381, 0.2500, 0.3124)
F (0.7619, 0.7500, 0.6876)
F (0.8143, 0.2500, 0.3207)
F (0.9458, 0.6679, 0.4647)
F (0.9458, 0.8321, 0.4647)

Summary:
calculated total energy: -6.694 eV/atom

Here is AgBH8C4N8F4 after structural relaxation from the Open Quantum Materials Database. Energies are from PBE.

abc: 5.3234 8.9936 10.7865
angles: 91.51 100.18 92.60
Element x y z (fractional)
Ag (0.0178, 0.3380, 0.0049)
Ag (0.9822, 0.6620, 0.9951)
B (0.3986, 0.2032, 0.4826)
B (0.6014, 0.7968, 0.5174)
H (0.0014, 0.6581, 0.5788)
H (0.0754, 0.9956, 0.6314)
H (0.1607, 0.0551, 0.0829)
H (0.1825, 0.6819, 0.2947)
H (0.2199, 0.0925, 0.2471)
H (0.2809, 0.5463, 0.4023)
H (0.2898, 0.6812, 0.6826)
H (0.3522, 0.0957, 0.7030)
H (0.6478, 0.9043, 0.2970)
H (0.7102, 0.3188, 0.3174)
H (0.7191, 0.4537, 0.5977)
H (0.7801, 0.9075, 0.7529)
H (0.8175, 0.3181, 0.7053)
H (0.8393, 0.9449, 0.9171)
H (0.9246, 0.0044, 0.3686)
H (0.9986, 0.3419, 0.4212)
C (0.0728, 0.4929, 0.7064)
C (0.1139, 0.0274, 0.8223)
C (0.4474, 0.5157, 0.8433)
C (0.4707, 0.1616, 0.9266)
C (0.5293, 0.8384, 0.0734)
C (0.5526, 0.4843, 0.1567)
C (0.8861, 0.9726, 0.1777)
C (0.9272, 0.5071, 0.2936)
N (0.1000, 0.0505, 0.1684)
N (0.1207, 0.6221, 0.6548)
N (0.1398, 0.5885, 0.3390)
N (0.1823, 0.0443, 0.7110)
N (0.2345, 0.4400, 0.8043)
N (0.2567, 0.0889, 0.9297)
N (0.3324, 0.7709, 0.0667)
N (0.3556, 0.4193, 0.1186)
N (0.6444, 0.5807, 0.8814)
N (0.6676, 0.2291, 0.9333)
N (0.7433, 0.9111, 0.0703)
N (0.7655, 0.5600, 0.1957)
N (0.8177, 0.9557, 0.2890)
N (0.8602, 0.4115, 0.6610)
N (0.8793, 0.3779, 0.3452)
N (0.9000, 0.9495, 0.8316)
F (0.1502, 0.1358, 0.4732)
F (0.3808, 0.3589, 0.5030)
F (0.4322, 0.8532, 0.4170)
F (0.4834, 0.1764, 0.3672)
F (0.5166, 0.8236, 0.6328)
F (0.5678, 0.1468, 0.5830)
F (0.6192, 0.6411, 0.4970)
F (0.8498, 0.8642, 0.5268)

Summary:
calculated total energy: -6.314 eV/atom

Here is Cd2AgB after structural relaxation from the Open Quantum Materials Database. Energies are from PBE.

abc: 4.6555 4.6555 4.6555
angles: 60.00 60.00 60.00
Element x y z (fractional)
Cd (0.0000, 0.0000, 0.0000)
Cd (0.2500, 0.2500, 0.2500)
Ag (0.7500, 0.7500, 0.7500)
B (0.5000, 0.5000, 0.5000)

Summary:
calculated total energy: -1.962 eV/atom